The following is a DFT calculation (PBE) of crystalline CaTb6Dy3Er2 at its relaxed geometry.

a = 6.183 Å, b = 6.183 Å, c = 11.787 Å
α = 94.99°, β = 94.99°, γ = 119.98°
Fractional positions:
Dy  0.834  0.166  0.500
Dy  0.166  0.834  0.500
Dy  0.500  0.500  0.500
Tb  0.255  0.255  0.747
Tb  0.425  0.085  0.252
Tb  0.745  0.745  0.253
Tb  0.575  0.915  0.748
Tb  0.915  0.575  0.748
Tb  0.085  0.425  0.252
Er  0.333  0.667  0.000
Er  0.667  0.333  0.000
Ca  0.000  0.000  0.000

=====

The following is a DFT calculation (PBE) of crystalline CaTbDyEr at its relaxed geometry.

a = 5.727 Å, b = 5.727 Å, c = 5.727 Å
α = 60.00°, β = 60.00°, γ = 60.00°
Fractional positions:
Dy  0.500  0.500  0.500
Er  0.750  0.750  0.750
Ca  0.250  0.250  0.250
Tb  0.000  0.000  0.000

=====

Number 1: energy of formation from the pure elements 0.049 eV/atom. Number 2: energy of formation from the pure elements 0.166 eV/atom.